Computed, not measured: an optimized crystal structure of PuUGaRu at the PBE-GGA level of DFT.

Structure (POSCAR):
```
PuUGaRu
1.0
-4.0577 2.4045 0.0715
-3.6624 -1.4767 -2.5802
-3.7923 -1.8356 2.1215
Ru Ga Pu U
1 1 1 1
Direct
0.5000 0.5000 0.5000
0.2500 0.2500 0.2500
0.0000 0.0000 0.0000
0.7500 0.7500 0.7500
```

## Properties
**ΔE_f**: -0.250 eV per atom
**Space-group type**: F-43m, No. 216

Computed, not measured: an optimized crystal structure of PuVGaRu at the PBE-GGA level of DFT.

Structure (POSCAR):
```
PuVGaRu
1.0
-4.1151 1.2821 -1.4158
-1.0779 -0.2886 -4.3974
-2.9876 -3.1123 -1.4037
Ru V Pu Ga
1 1 1 1
Direct
0.2500 0.2500 0.2500
0.7500 0.7500 0.7500
0.0000 0.0000 0.0000
0.5000 0.5000 0.5000
```

## Properties
**ΔE_f**: -0.171 eV per atom
**Space-group type**: F-43m, No. 216

Computed, not measured: an optimized crystal structure of PuZnGaRu at the PBE-GGA level of DFT.

Structure (POSCAR):
```
PuZnGaRu
1.0
-4.0983 -0.1614 2.1855
-0.1769 -0.9952 4.5362
-1.1323 3.3075 3.0622
Pu Ga Zn Ru
1 1 1 1
Direct
0.5000 0.5000 0.5000
0.0000 0.0000 0.0000
0.2500 0.2500 0.2500
0.7500 0.7500 0.7500
```

## Properties
**ΔE_f**: -0.038 eV per atom
**Space-group type**: F-43m, No. 216

Computed, not measured: an optimized crystal structure of Pu2GaS at the PBE-GGA level of DFT.

Structure (POSCAR):
```
Pu2GaS
1.0
3.2932 0.0000 0.0000
0.0000 3.2932 0.0000
0.0000 0.0000 7.8453
S Pu Ga
1 2 1
Direct
0.5000 0.5000 0.0000
0.0000 0.0000 0.7738
0.0000 0.0000 0.2262
0.5000 0.5000 0.5000
```

## Properties
**ΔE to the lowest computed polymorph**: 0.00 eV/f.u.
**Space-group type**: P4/mmm, No. 123
**Uncorrected formation energy**: -18.90 kcal/mol of atoms

Computed, not measured: an optimized crystal structure of Pu3GaS6 at the PBE-GGA level of DFT.

Structure (POSCAR):
```
Pu3GaS6
1.0
-4.5226 3.5425 -3.0970
-3.1210 -7.1235 -3.5904
-4.5121 0.5846 7.2578
Pu S Ga
6 12 2
Direct
0.9753 0.0851 0.2849
0.4032 0.3971 0.6029
0.9032 0.6029 0.3971
0.9753 0.7151 0.9149
0.4753 0.2849 0.0851
0.4753 0.9149 0.7151
0.1731 0.7836 0.2164
0.6958 0.9024 0.4318
0.1895 0.3649 0.3150
0.6731 0.2164 0.7836
0.1958 0.4318 0.9024
0.1662 0.0374 0.9626
0.6895 0.3150 0.3649
0.1895 0.6850 0.6351
0.6662 0.9626 0.0374
0.6958 0.5682 0.0976
0.6895 0.6351 0.6850
0.1958 0.0976 0.5682
0.0218 0.1966 0.8034
0.5218 0.8034 0.1966
```

## Properties
**Space-group type**: Cmc2_1, No. 36
**Uncorrected formation energy**: -32.86 kcal/mol of atoms

Computed, not measured: an optimized crystal structure of Pu2GaS6 at the PBE-GGA level of DFT.

Structure (POSCAR):
```
Pu2GaS6
1.0
6.0393 0.0000 0.0000
0.0000 6.0393 0.0000
0.0000 0.0000 11.9064
Ga Pu S
2 4 12
Direct
0.0000 0.0000 0.0000
0.5000 0.5000 0.5000
0.5000 0.5000 0.8318
0.5000 0.5000 0.1682
0.0000 0.0000 0.6682
0.0000 0.0000 0.3318
0.6993 0.6993 0.0000
0.8092 0.1908 0.8447
0.3092 0.3092 0.6553
0.8007 0.1993 0.5000
0.3092 0.3092 0.3447
0.8092 0.1908 0.1553
0.6908 0.6908 0.6553
0.1993 0.8007 0.5000
0.1908 0.8092 0.8447
0.6908 0.6908 0.3447
0.1908 0.8092 0.1553
0.3007 0.3007 0.0000
```

## Properties
**Space-group type**: P4_2/mnm, No. 136
**Uncorrected formation energy**: -20.65 kcal/mol of atoms

Computed, not measured: an optimized crystal structure of PuGa2S4 at the PBE-GGA level of DFT.

Structure (POSCAR):
```
PuGa2S4
1.0
5.2758 0.0000 0.0000
0.0000 5.2758 0.0000
0.0000 0.0000 6.5774
Pu S Ga
1 4 2
Direct
0.0000 0.0000 0.0000
0.2658 0.7342 0.7128
0.7342 0.7342 0.2872
0.2658 0.2658 0.2872
0.7342 0.2658 0.7128
0.5000 0.0000 0.5000
0.0000 0.5000 0.5000
```

## Properties
**Space-group type**: P-42m, No. 111
**Uncorrected formation energy**: -18.18 kcal/mol of atoms

Computed, not measured: an optimized crystal structure of Pu2Ga2S7 at the PBE-GGA level of DFT.

Structure (POSCAR):
```
Pu2Ga2S7
1.0
6.3049 -0.2018 -0.2307
-0.6595 6.8225 -0.3376
-0.6595 -1.2422 6.7169
S Pu Ga
7 2 2
Direct
0.2516 0.6036 0.6036
0.7484 0.3964 0.3964
0.7696 0.5553 0.9213
0.7696 0.9213 0.5553
0.2304 0.0787 0.4447
0.2304 0.4447 0.0787
0.5000 0.0000 0.0000
0.0000 0.3064 0.6936
0.0000 0.6936 0.3064
0.5979 0.7653 0.7653
0.4021 0.2347 0.2347
```

## Properties
**Space-group type**: C2/m, No. 12
**Uncorrected formation energy**: -20.18 kcal/mol of atoms

Values of final energy, in order: -0.7152; -0.6695; -0.5156; -0.7184; -0.6250; -0.5269; -0.4454; -0.4893, all in Ry/atom.